1.
# LiMgGa3

Crystalline LiMgGa3 at its relaxed geometry (PBE, Alexandria via LeMat-Bulk).

## Properties
Volume, Å³/atom: 20.2
Energy of formation, eV per atom: 0.1687
N(E_F), states/eV/cell: 2.165
DFT total energy, eV/cell: -11.7
Total moment, μB/atom: 0.00

Cell lengths 4.657, 4.657, 4.657 Å; angles 90.00, 90.00, 90.00 degrees
Fractional positions:
1 Li 0.000 0.000 0.000
2 Mg 0.500 0.500 0.500
3 Ga 0.000 0.000 0.500
4 Ga 0.000 0.500 0.000
5 Ga 0.500 0.000 0.000

=====

2.
# LiMg5Ga

Crystalline LiMg5Ga at its relaxed geometry (PBE, Alexandria via LeMat-Bulk).

## Properties
Volume, Å³/atom: 23.3
Energy of formation, eV per atom: 0.0621
N(E_F), states/eV/cell: 4.166
DFT total energy, eV/cell: -25.0
Total moment, μB/atom: 0.00

Cell lengths 6.041, 6.041, 10.448 Å; angles 110.45, 110.45, 71.67 degrees
Fractional positions:
1 Li 0.082 0.918 0.750
2 Li 0.918 0.082 0.250
3 Mg 0.154 0.386 0.745
4 Mg 0.251 0.526 0.509
5 Mg 0.335 0.665 0.250
6 Mg 0.386 0.154 0.245
7 Mg 0.474 0.749 0.991
8 Mg 0.526 0.251 0.009
9 Mg 0.614 0.846 0.755
10 Mg 0.665 0.335 0.750
11 Mg 0.749 0.474 0.491
12 Mg 0.846 0.614 0.255
13 Ga 0.000 0.500 0.000
14 Ga 0.500 0.000 0.500

=====

3.
# Li5Mg2Ga

Crystalline Li5Mg2Ga at its relaxed geometry (PBE, Alexandria via LeMat-Bulk).

## Properties
Volume, Å³/atom: 18.0
Energy of formation, eV per atom: -0.1395
N(E_F), states/eV/cell: 2.979
DFT total energy, eV/cell: -16.9
Total moment, μB/atom: 0.00

Cell lengths 7.311, 7.311, 7.311 Å; angles 142.43, 142.43, 54.18 degrees
Fractional positions:
1 Li 0.000 0.000 0.000
2 Li 0.111 0.611 0.500
3 Li 0.389 0.889 0.500
4 Li 0.611 0.111 0.500
5 Li 0.889 0.389 0.500
6 Mg 0.260 0.260 0.000
7 Mg 0.740 0.740 0.000
8 Ga 0.500 0.500 0.000

=====

4.
# Li3MgGa7

Crystalline Li3MgGa7 at its relaxed geometry (PBE, Alexandria via LeMat-Bulk).

## Properties
Volume, Å³/atom: 19.2
Energy of formation, eV per atom: -0.0799
N(E_F), states/eV/cell: 3.013
DFT total energy, eV/cell: -29.4
Total moment, μB/atom: 0.00

Cell lengths 6.568, 6.568, 5.431 Å; angles 108.43, 108.43, 84.95 degrees
Fractional positions:
1 Li 0.000 0.000 0.000
2 Li 0.191 0.809 0.500
3 Li 0.809 0.191 0.500
4 Mg 0.500 0.500 0.000
5 Ga 0.048 0.574 0.826
6 Ga 0.226 0.226 0.517
7 Ga 0.426 0.952 0.174
8 Ga 0.500 0.500 0.500
9 Ga 0.574 0.048 0.826
10 Ga 0.774 0.774 0.483
11 Ga 0.952 0.426 0.174

=====

5.
# Li2Mg2Ga

Crystalline Li2Mg2Ga at its relaxed geometry (PBE, Alexandria via LeMat-Bulk).

## Properties
Volume, Å³/atom: 18.6
Energy of formation, eV per atom: -0.1535
N(E_F), states/eV/cell: 2.435
DFT total energy, eV/cell: -21.6
Total moment, μB/atom: 0.00

Cell lengths 5.014, 4.729, 8.238 Å; angles 90.00, 107.55, 90.00 degrees
Fractional positions:
1 Li 0.063 0.250 0.302
2 Li 0.106 0.750 0.116
3 Li 0.894 0.250 0.884
4 Li 0.937 0.750 0.698
5 Mg 0.302 0.750 0.493
6 Mg 0.476 0.250 0.104
7 Mg 0.524 0.750 0.896
8 Mg 0.698 0.250 0.507
9 Ga 0.289 0.250 0.704
10 Ga 0.711 0.750 0.296

=====

6.
# Li3Mg6Ga

Crystalline Li3Mg6Ga at its relaxed geometry (PBE, Alexandria via LeMat-Bulk).

## Properties
Volume, Å³/atom: 21.5
Energy of formation, eV per atom: -0.0266
N(E_F), states/eV/cell: 7.679
DFT total energy, eV/cell: -37.2
Total moment, μB/atom: 0.00

Cell lengths 9.508, 9.508, 5.397 Å; angles 90.00, 90.00, 118.32 degrees
Fractional positions:
1 Li 0.116 0.884 0.500
2 Li 0.234 0.458 0.819
3 Li 0.458 0.234 0.319
4 Li 0.542 0.766 0.819
5 Li 0.766 0.542 0.319
6 Li 0.884 0.116 0.000
7 Mg 0.052 0.460 0.264
8 Mg 0.119 0.200 0.453
9 Mg 0.200 0.119 0.953
10 Mg 0.212 0.788 0.047
11 Mg 0.441 0.559 0.323
12 Mg 0.460 0.052 0.764
13 Mg 0.540 0.948 0.264
14 Mg 0.559 0.441 0.823
15 Mg 0.788 0.212 0.547
16 Mg 0.800 0.881 0.453
17 Mg 0.881 0.800 0.953
18 Mg 0.948 0.540 0.764
19 Ga 0.281 0.719 0.548
20 Ga 0.719 0.281 0.048

=====

7.
# Li4Mg2Ga3

Crystalline Li4Mg2Ga3 at its relaxed geometry (PBE, Alexandria via LeMat-Bulk).

## Properties
Volume, Å³/atom: 17.3
Energy of formation, eV per atom: -0.2046
N(E_F), states/eV/cell: 2.484
DFT total energy, eV/cell: -21.8
Total moment, μB/atom: 0.00

Cell lengths 6.628, 6.628, 6.118 Å; angles 109.26, 109.26, 38.23 degrees
Fractional positions:
1 Li 0.051 0.051 0.350
2 Li 0.271 0.271 0.657
3 Li 0.729 0.729 0.343
4 Li 0.949 0.949 0.650
5 Mg 0.157 0.157 0.001
6 Mg 0.843 0.843 0.999
7 Ga 0.391 0.391 0.343
8 Ga 0.500 0.500 0.000
9 Ga 0.609 0.609 0.657

=====

8.
# Li8Mg6Ga

Crystalline Li8Mg6Ga at its relaxed geometry (PBE, Alexandria via LeMat-Bulk).

## Properties
Volume, Å³/atom: 20.0
Energy of formation, eV per atom: -0.0562
N(E_F), states/eV/cell: 4.616
DFT total energy, eV/cell: -28.7
Total moment, μB/atom: 0.00

Cell lengths 7.530, 7.530, 7.530 Å; angles 59.69, 59.69, 59.69 degrees
Fractional positions:
1 Li 0.151 0.151 0.151
2 Li 0.230 0.700 0.398
3 Li 0.300 0.602 0.770
4 Li 0.398 0.230 0.700
5 Li 0.602 0.770 0.300
6 Li 0.700 0.398 0.230
7 Li 0.770 0.300 0.602
8 Li 0.849 0.849 0.849
9 Mg 0.067 0.542 0.236
10 Mg 0.236 0.067 0.542
11 Mg 0.458 0.764 0.933
12 Mg 0.542 0.236 0.067
13 Mg 0.764 0.933 0.458
14 Mg 0.933 0.458 0.764
15 Ga 0.000 0.000 0.000

=====

9.
# Li2Mg2Ga7

Crystalline Li2Mg2Ga7 at its relaxed geometry (PBE, Alexandria via LeMat-Bulk).

## Properties
Volume, Å³/atom: 19.5
Energy of formation, eV per atom: 0.0008
N(E_F), states/eV/cell: 3.774
DFT total energy, eV/cell: -28.2
Total moment, μB/atom: 0.00

Cell lengths 5.775, 5.775, 7.242 Å; angles 90.00, 90.00, 117.38 degrees
Fractional positions:
1 Li 0.235 0.765 0.000
2 Li 0.765 0.235 0.000
3 Mg 0.260 0.260 0.500
4 Mg 0.740 0.740 0.500
5 Ga 0.000 0.000 0.182
6 Ga 0.000 0.000 0.818
7 Ga 0.000 0.500 0.308
8 Ga 0.000 0.500 0.692
9 Ga 0.500 0.000 0.308
10 Ga 0.500 0.000 0.692
11 Ga 0.500 0.500 0.000

=====

10.
# Li2MgGa

Crystalline Li2MgGa at its relaxed geometry (PBE, Alexandria via LeMat-Bulk).

## Properties
Volume, Å³/atom: 19.5
Energy of formation, eV per atom: 0.0050
N(E_F), states/eV/cell: 2.447
DFT total energy, eV/cell: -16.9
Total moment, μB/atom: 0.00

Cell lengths 5.979, 5.979, 5.979 Å; angles 102.60, 102.60, 124.31 degrees
Fractional positions:
1 Li 0.101 0.625 0.976
2 Li 0.375 0.351 0.476
3 Li 0.649 0.125 0.024
4 Li 0.875 0.899 0.524
5 Mg 0.250 0.750 0.500
6 Mg 0.500 0.500 0.000
7 Ga 0.000 0.000 0.000
8 Ga 0.750 0.250 0.500

=====

11.
# Li2MgGa

Crystalline Li2MgGa at its relaxed geometry (PBE, Alexandria via LeMat-Bulk).

## Properties
Volume, Å³/atom: 20.1
Energy of formation, eV per atom: 0.0283
N(E_F), states/eV/cell: 1.420
DFT total energy, eV/cell: -8.3
Total moment, μB/atom: 0.00

Cell lengths 6.183, 6.183, 6.183 Å; angles 151.56, 133.99, 54.98 degrees
Fractional positions:
1 Li 0.234 0.234 0.000
2 Li 0.766 0.766 0.000
3 Mg 0.500 0.500 0.000
4 Ga 0.000 0.000 0.000

=====

12.
# Li4Mg2Ga

Crystalline Li4Mg2Ga at its relaxed geometry (PBE, Alexandria via LeMat-Bulk).

## Properties
Volume, Å³/atom: 18.5
Energy of formation, eV per atom: -0.1236
N(E_F), states/eV/cell: 2.289
DFT total energy, eV/cell: -14.7
Total moment, μB/atom: 0.00

Cell lengths 10.034, 10.034, 10.034 Å; angles 163.43, 153.35, 31.55 degrees
Fractional positions:
1 Li 0.065 0.065 0.000
2 Li 0.367 0.867 0.500
3 Li 0.633 0.133 0.500
4 Li 0.935 0.935 0.000
5 Mg 0.209 0.709 0.500
6 Mg 0.791 0.291 0.500
7 Ga 0.500 0.500 0.000

=====

13.
# Li5MgGa3

Crystalline Li5MgGa3 at its relaxed geometry (PBE, Alexandria via LeMat-Bulk).

## Properties
Volume, Å³/atom: 19.3
Energy of formation, eV per atom: -0.0309
N(E_F), states/eV/cell: 6.845
DFT total energy, eV/cell: -41.0
Total moment, μB/atom: 0.00

Cell lengths 5.741, 5.741, 10.965 Å; angles 94.45, 94.45, 75.49 degrees
Fractional positions:
1 Li 0.021 0.021 0.275
2 Li 0.078 0.491 0.342
3 Li 0.167 0.833 0.000
4 Li 0.232 0.232 0.880
5 Li 0.491 0.078 0.342
6 Li 0.509 0.922 0.658
7 Li 0.768 0.768 0.120
8 Li 0.833 0.167 0.000
9 Li 0.922 0.509 0.658
10 Li 0.979 0.979 0.725
11 Mg 0.466 0.466 0.745
12 Mg 0.534 0.534 0.255
13 Ga 0.147 0.147 0.512
14 Ga 0.251 0.251 0.118
15 Ga 0.500 0.500 0.000
16 Ga 0.500 0.500 0.500
17 Ga 0.749 0.749 0.882
18 Ga 0.853 0.853 0.488

=====

14.
# Li4Mg3Ga

Crystalline Li4Mg3Ga at its relaxed geometry (PBE, Alexandria via LeMat-Bulk).

## Properties
Volume, Å³/atom: 18.8
Energy of formation, eV per atom: -0.1394
N(E_F), states/eV/cell: 4.576
DFT total energy, eV/cell: -33.2
Total moment, μB/atom: 0.00

Cell lengths 4.746, 9.280, 6.816 Å; angles 90.00, 90.00, 90.00 degrees
Fractional positions:
1 Li 0.250 0.005 0.105
2 Li 0.250 0.250 0.356
3 Li 0.250 0.250 0.903
4 Li 0.250 0.495 0.105
5 Li 0.750 0.505 0.895
6 Li 0.750 0.750 0.097
7 Li 0.750 0.750 0.644
8 Li 0.750 0.995 0.895
9 Mg 0.250 0.506 0.644
10 Mg 0.250 0.750 0.345
11 Mg 0.250 0.994 0.644
12 Mg 0.750 0.006 0.356
13 Mg 0.750 0.250 0.655
14 Mg 0.750 0.494 0.356
15 Ga 0.250 0.750 0.895
16 Ga 0.750 0.250 0.105

=====

15.
# LiMg5Ga6

Crystalline LiMg5Ga6 at its relaxed geometry (PBE, Alexandria via LeMat-Bulk).

## Properties
Volume, Å³/atom: 18.5
Energy of formation, eV per atom: -0.1633
N(E_F), states/eV/cell: 4.269
DFT total energy, eV/cell: -30.0
Total moment, μB/atom: 0.00

Cell lengths 7.848, 7.848, 4.278 Å; angles 105.62, 105.62, 108.08 degrees
Fractional positions:
1 Li 0.000 0.000 0.000
2 Mg 0.160 0.840 0.500
3 Mg 0.331 0.669 0.000
4 Mg 0.500 0.500 0.500
5 Mg 0.669 0.331 0.000
6 Mg 0.840 0.160 0.500
7 Ga 0.084 0.414 0.249
8 Ga 0.250 0.250 0.751
9 Ga 0.414 0.084 0.249
10 Ga 0.586 0.916 0.751
11 Ga 0.750 0.750 0.249
12 Ga 0.916 0.586 0.751

=====

16.
# Li3Mg2Ga6

Crystalline Li3Mg2Ga6 at its relaxed geometry (PBE, Alexandria via LeMat-Bulk).

## Properties
Volume, Å³/atom: 19.5
Energy of formation, eV per atom: -0.0431
N(E_F), states/eV/cell: 3.189
DFT total energy, eV/cell: -27.6
Total moment, μB/atom: 0.00

Cell lengths 7.412, 7.412, 4.384 Å; angles 90.00, 90.00, 117.18 degrees
Fractional positions:
1 Li 0.000 0.000 0.000
2 Li 0.185 0.185 0.500
3 Li 0.815 0.815 0.500
4 Mg 0.332 0.668 0.500
5 Mg 0.668 0.332 0.500
6 Ga 0.002 0.665 0.000
7 Ga 0.335 0.998 0.000
8 Ga 0.345 0.345 0.000
9 Ga 0.655 0.655 0.000
10 Ga 0.665 0.002 0.000
11 Ga 0.998 0.335 0.000

=====

17.
# LiMg2Ga5

Crystalline LiMg2Ga5 at its relaxed geometry (PBE, Alexandria via LeMat-Bulk).

## Properties
Volume, Å³/atom: 18.4
Energy of formation, eV per atom: -0.1428
N(E_F), states/eV/cell: 3.824
DFT total energy, eV/cell: -21.4
Total moment, μB/atom: 0.00

Cell lengths 5.853, 5.853, 5.853 Å; angles 117.21, 117.21, 94.90 degrees
Fractional positions:
1 Li 0.000 0.000 0.000
2 Mg 0.465 0.965 0.500
3 Mg 0.965 0.465 0.500
4 Ga 0.410 0.410 0.000
5 Ga 0.488 0.488 0.549
6 Ga 0.488 0.939 0.000
7 Ga 0.939 0.488 0.000
8 Ga 0.939 0.939 0.451

=====

18.
# Li2MgGa8

Crystalline Li2MgGa8 at its relaxed geometry (PBE, Alexandria via LeMat-Bulk).

## Properties
Volume, Å³/atom: 17.7
Energy of formation, eV per atom: -0.1428
N(E_F), states/eV/cell: 5.035
DFT total energy, eV/cell: -31.2
Total moment, μB/atom: 0.00

Cell lengths 7.587, 7.587, 6.674 Å; angles 104.19, 104.19, 31.59 degrees
Fractional positions:
1 Li 0.232 0.232 0.146
2 Li 0.768 0.768 0.854
3 Mg 0.500 0.500 0.500
4 Ga 0.054 0.054 0.235
5 Ga 0.135 0.135 0.711
6 Ga 0.313 0.313 0.587
7 Ga 0.406 0.406 0.027
8 Ga 0.594 0.594 0.973
9 Ga 0.687 0.687 0.413
10 Ga 0.865 0.865 0.289
11 Ga 0.946 0.946 0.765

=====

19.
# Li2MgGa

Crystalline Li2MgGa at its relaxed geometry (PBE, Alexandria via LeMat-Bulk).

## Properties
Volume, Å³/atom: 20.5
Energy of formation, eV per atom: 0.0850
N(E_F), states/eV/cell: 0.864
DFT total energy, eV/cell: -8.1
Total moment, μB/atom: 0.00

Cell lengths 6.787, 6.787, 6.787 Å; angles 32.89, 32.89, 32.89 degrees
Fractional positions:
1 Li 0.000 0.000 0.000
2 Li 0.194 0.194 0.194
3 Mg 0.428 0.428 0.428
4 Ga 0.598 0.598 0.598

=====

20.
# Li2Mg7Ga

Crystalline Li2Mg7Ga at its relaxed geometry (PBE, Alexandria via LeMat-Bulk).

## Properties
Volume, Å³/atom: 26.7
Energy of formation, eV per atom: 0.2589
N(E_F), states/eV/cell: 4.886
DFT total energy, eV/cell: -15.4
Total moment, μB/atom: 0.00

Cell lengths 8.025, 8.025, 4.771 Å; angles 90.00, 90.00, 119.57 degrees
Fractional positions:
1 Li 0.203 0.797 0.000
2 Li 0.797 0.203 0.000
3 Mg 0.000 0.000 0.000
4 Mg 0.207 0.428 0.000
5 Mg 0.293 0.707 0.500
6 Mg 0.428 0.207 0.000
7 Mg 0.572 0.793 0.000
8 Mg 0.707 0.293 0.500
9 Mg 0.793 0.572 0.000
10 Ga 0.500 0.500 0.500

=====

21.
# Li6MgGa

Crystalline Li6MgGa at its relaxed geometry (PBE, Alexandria via LeMat-Bulk).

## Properties
Volume, Å³/atom: 17.9
Energy of formation, eV per atom: -0.1134
N(E_F), states/eV/cell: 2.557
DFT total energy, eV/cell: -17.0
Total moment, μB/atom: 0.00

Cell lengths 4.563, 5.718, 5.718 Å; angles 73.14, 90.00, 90.00 degrees
Fractional positions:
1 Li 0.000 0.000 0.000
2 Li 0.000 0.025 0.496
3 Li 0.000 0.496 0.025
4 Li 0.500 0.253 0.771
5 Li 0.500 0.294 0.294
6 Li 0.500 0.771 0.253
7 Mg 0.500 0.742 0.742
8 Ga 0.000 0.518 0.518

=====

22.
# LiMg6Ga

Crystalline LiMg6Ga at its relaxed geometry (PBE, Alexandria via LeMat-Bulk).

## Properties
Volume, Å³/atom: 21.2
Energy of formation, eV per atom: -0.0587
N(E_F), states/eV/cell: 2.603
DFT total energy, eV/cell: -15.0
Total moment, μB/atom: 0.00

Cell lengths 5.047, 6.122, 6.122 Å; angles 63.90, 90.00, 90.00 degrees
Fractional positions:
1 Li 0.000 0.000 0.000
2 Mg 0.000 0.008 0.489
3 Mg 0.000 0.489 0.008
4 Mg 0.000 0.503 0.503
5 Mg 0.500 0.183 0.689
6 Mg 0.500 0.684 0.684
7 Mg 0.500 0.689 0.183
8 Ga 0.500 0.182 0.182